# NaEr4Cd5

Crystalline NaEr4Cd5 at its relaxed geometry (PBE, Alexandria).

Cell lengths 3.6950, 3.6950, 18.8494 Å; angles 90.00, 90.00, 90.00 degrees
With the nearest neighbours (Å) after each atom.
Atoms (fractional coordinates):
1 Cd 0.5000 0.5000 0.3027  8 Er 3.21-3.22
2 Cd 0.5000 0.5000 0.8939  4 Er 3.19, 4 Na 3.29
3 Cd 0.5000 0.5000 0.6973  8 Er 3.21-3.22
4 Cd 0.5000 0.5000 0.1061  4 Er 3.19, 4 Na 3.29
5 Cd 0.5000 0.5000 0.5000  8 Er 3.21
6 Er 0.0000 0.0000 0.5986  8 Cd 3.21
7 Er 0.0000 0.0000 0.4014  8 Cd 3.21
8 Er 0.0000 0.0000 0.7973  8 Cd 3.19-3.22
9 Er 0.0000 0.0000 0.2027  8 Cd 3.19-3.22
10 Na 0.0000 0.0000 0.0000  8 Cd 3.29

Calculated values
energy of formation	-0.26	eV/atom
total magnetization	0.00	μB/cell
V	257.3	Å³/cell
ρ	8092	kg/m³



# NaEr2Cd

Crystalline NaEr2Cd at its relaxed geometry (PBE, Alexandria).

Cell lengths 3.7107, 3.7107, 8.5631 Å; angles 90.00, 90.00, 90.00 degrees
With the nearest neighbours (Å) after each atom.
Atoms (fractional coordinates):
1 Er 0.0000 0.0000 0.7923  4 Cd 3.17
2 Er 0.0000 0.0000 0.2077  4 Cd 3.17
3 Na 0.5000 0.5000 0.5000  8 Er 3.63, 4 Na 3.71
4 Cd 0.5000 0.5000 0.0000  8 Er 3.17

Calculated values
energy of formation	0.05	eV/atom
total magnetization	0.00	μB/cell
V	117.9	Å³/cell
E above lowest polymorph	0.000	eV/atom
ρ	6618	kg/m³



| no. | D(E_F) (states/eV/f.u.) |
| --- | --- |
| 1 | 7.99 |
| 2 | 4.47 |